Material: ZnHN3
Method: DFT, PBE
State: relaxed

abc: 3.9846 3.9846 3.9846
angles: 90.00 90.00 90.00
Space group Pm-3m (No. 221)
Asymmetric unit:
Zn  0.0000  0.0000  0.0000 [1 per cell]
H  0.5000  0.5000  0.5000 [1 per cell]
N  0.0000  0.0000  0.5000 [3 per cell]

Results
For the density, the calculation gives 2.85 g/cm³. For the density of states at the Fermi level, the calculation gives 1.782 states/eV per cell. Its total energy is -3.200 eV per atom.